No. 1
## InSbW2 (GGA-PBEsol)

Data for a relaxed structure of InSbW2.

a = 2.9147 Å, b = 2.9147 Å, c = 10.0994 Å
α = 90.00°, β = 90.00°, γ = 111.66°
Sites, in units of the cell vectors:
In (0.0000, 0.0000, 0.0000)
Sb (0.5000, 0.5000, 0.6777)
W (0.0000, 0.0000, 0.4420)
W (0.5000, 0.5000, 0.2431)

Energy above the lowest structure with this stoichiometry in eV per formula unit: 0.00
Total moment in μB/f.u.: 0.0
SG: Cmm2, No. 35


No. 2
## InSbW2 (GGA-PBEsol)

Data for a relaxed structure of InSbW2.

a = 2.9192 Å, b = 4.5562 Å, c = 5.6531 Å
α = 90.00°, β = 94.55°, γ = 90.00°
Sites, in units of the cell vectors:
In (0.0000, 0.0000, 0.0000)
Sb (0.5000, 0.0000, 0.5000)
W (0.3452, 0.5000, 0.7782)
W (0.6548, 0.5000, 0.2218)

Energy above the lowest structure with this stoichiometry in eV per formula unit: 1.24
Total moment in μB/f.u.: 0.0
SG: P2/m, No. 10


No. 3
## InSb2W (GGA-PBEsol)

Data for a relaxed structure of InSb2W.

a = 4.8866 Å, b = 4.8866 Å, c = 3.5149 Å
α = 90.00°, β = 90.00°, γ = 90.00°
Sites, in units of the cell vectors:
In (0.0000, 0.0000, 0.0000)
Sb (0.0000, 0.5000, 0.5000)
Sb (0.5000, 0.0000, 0.5000)
W (0.5000, 0.5000, 0.0000)

DFT total energy in eV per atom: -5.71
Total moment in μB/f.u.: 0.0
SG: P4/mmm, No. 123


No. 4
## InSbW2 (GGA-PBEsol)

Data for a relaxed structure of InSbW2.

a = 9.2161 Å, b = 9.2161 Å, c = 9.2161 Å
α = 18.98°, β = 18.98°, γ = 18.98°
Sites, in units of the cell vectors:
In (0.0000, 0.0000, 0.0000)
Sb (0.5000, 0.5000, 0.5000)
W (0.2465, 0.2465, 0.2465)
W (0.7535, 0.7535, 0.7535)

Energy above the lowest structure with this stoichiometry in eV per formula unit: 0.86
Total moment in μB/f.u.: 0.0
SG: R-3m, No. 166


No. 5
## Y2InSb (GGA-PBEsol)

Data for a relaxed structure of Y2InSb.

a = 3.9060 Å, b = 3.9060 Å, c = 6.7143 Å
α = 90.00°, β = 90.00°, γ = 90.00°
Sites, in units of the cell vectors:
Y (0.0000, 0.0000, 0.2422)
Y (0.0000, 0.0000, 0.7578)
In (0.5000, 0.5000, 0.5000)
Sb (0.5000, 0.5000, 0.0000)

DFT total energy in eV per atom: -6.03
Total moment in μB/f.u.: 0.0
SG: P4/mmm, No. 123


No. 6
## YIn2Sb (GGA-PBEsol)

Data for a relaxed structure of YIn2Sb.

a = 6.5207 Å, b = 6.5050 Å, c = 4.3182 Å
α = 70.84°, β = 70.44°, γ = 38.72°
Sites, in units of the cell vectors:
Y (0.0000, 0.0000, 0.0000)
In (0.0000, 0.5000, 0.0000)
In (0.5000, 0.0000, 0.5000)
Sb (0.5000, 0.5000, 0.5000)

DFT total energy in eV per atom: -4.79
Total moment in μB/f.u.: 0.0
SG: Fmmm, No. 69


No. 7
## YIn2Sb (GGA-PBEsol)

Data for a relaxed structure of YIn2Sb.

a = 3.3179 Å, b = 3.3179 Å, c = 9.6991 Å
α = 90.00°, β = 90.00°, γ = 105.86°
Sites, in units of the cell vectors:
Y (0.0000, 0.0000, 0.0000)
In (0.5000, 0.5000, 0.2502)
In (0.5000, 0.5000, 0.7498)
Sb (0.0000, 0.0000, 0.5000)

DFT total energy in eV per atom: -4.45
Total moment in μB/f.u.: 0.0
SG: Cmmm, No. 65


No. 8
## ZnInSb2 (GGA-PBEsol)

Data for a relaxed structure of ZnInSb2.

a = 5.1426 Å, b = 5.1426 Å, c = 5.1426 Å
α = 60.00°, β = 60.00°, γ = 60.00°
Sites, in units of the cell vectors:
Zn (0.0000, 0.0000, 0.0000)
In (0.2500, 0.2500, 0.2500)
Sb (0.5000, 0.5000, 0.5000)
Sb (0.7500, 0.7500, 0.7500)

DFT total energy in eV per atom: -3.24
Total moment in μB/f.u.: 0.0
SG: F-43m, No. 216